NaTeI2 | GGA-PBE | relaxed

Lattice parameters (Å, degrees): 5.9856 5.9856 19.7276 90.00 90.00 90.00
Last column: nearest neighbours and their distance in Å.
Fractional positions:
Na1 0.0000 0.0000 0.0000  4 I 3.33
Na2 0.0000 0.5000 0.2500  4 I 3.33
Na3 0.5000 0.0000 0.7500  4 I 3.33
Na4 0.5000 0.5000 0.5000  4 I 3.33
Te1 0.0000 0.0000 0.5000  4 I 3.18
Te2 0.0000 0.5000 0.7500  4 I 3.18
Te3 0.5000 0.0000 0.2500  4 I 3.18
Te4 0.5000 0.5000 0.0000  4 I 3.18
I1 0.2218 0.2500 0.6250  2 Te 3.18, 2 Na 3.33
I2 0.2500 0.7218 0.8750  2 Te 3.18, 2 Na 3.33
I3 0.2500 0.7782 0.3750  2 Te 3.18, 2 Na 3.33
I4 0.2782 0.2500 0.1250  2 Te 3.18, 2 Na 3.33
I5 0.7218 0.7500 0.1250  2 Te 3.18, 2 Na 3.33
I6 0.7500 0.2218 0.3750  2 Te 3.18, 2 Na 3.33
I7 0.7500 0.2782 0.8750  2 Te 3.18, 2 Na 3.33
I8 0.7782 0.7500 0.6250  2 Te 3.18, 2 Na 3.33

Calculated values
The total magnetization comes out at 0.0000 μB/atom. Its polymorph energy (0 for the lowest one) is 0.140 eV/atom. For the raw formation energy, the calculation gives -0.291 eV/atom. Its total DFT energy (no corrections) is -8.72 eV/f.u.

NaTeI4 | GGA-PBE | relaxed

Lattice parameters (Å, degrees): 9.8292 9.8292 8.0508 102.63 102.63 126.12
Last column: nearest neighbours and their distance in Å.
Fractional positions:
Na1 0.1784 0.8216 0.7500  6 I 3.17-3.47
Na2 0.8216 0.1784 0.2500  6 I 3.17-3.47
Te1 0.3220 0.6780 0.2500  4 I 2.89-3.01
Te2 0.6780 0.3220 0.7500  4 I 2.89-3.01
I1 0.0302 0.4261 0.7389  1 Te 3.01, 1 Na 3.22
I2 0.2119 0.3343 0.2549  1 Te 2.89, 1 Na 3.17
I3 0.3343 0.2119 0.7549  1 Te 2.89, 1 Na 3.17
I4 0.4261 0.0302 0.2389  1 Te 3.01, 1 Na 3.22
I5 0.5739 0.9698 0.7611  1 Te 3.01, 1 Na 3.22
I6 0.6657 0.7881 0.2451  1 Te 2.89, 1 Na 3.17
I7 0.7881 0.6657 0.7451  1 Te 2.89, 1 Na 3.17
I8 0.9698 0.5739 0.2611  1 Te 3.01, 1 Na 3.22

Calculated values
The total magnetization comes out at 0.0000 μB/atom. Its polymorph energy (0 for the lowest one) is 0.014 eV/atom. For the raw formation energy, the calculation gives -0.441 eV/atom. Its total DFT energy (no corrections) is -13.31 eV/f.u.